{"formula": "Ac2Pr2NdDy", "functional": "PBE", "state": "relaxed", "cell": [[5.972, 0.000, 0.000], [0.000, 10.300, 0.000], [0.000, 0.000, 7.390]], "species": ["Ac", "Ac", "Ac", "Ac", "Pr", "Pr", "Pr", "Pr", "Nd", "Nd", "Dy", "Dy"], "fractional_positions": [[0.000, 0.000, 0.000], [0.000, 0.000, 0.500], [0.500, 0.174, 0.250], [0.500, 0.826, 0.750], [0.000, 0.343, 0.250], [0.000, 0.657, 0.750], [0.500, 0.173, 0.750], [0.500, 0.827, 0.250], [0.500, 0.500, 0.000], [0.500, 0.500, 0.500], [0.000, 0.336, 0.750], [0.000, 0.664, 0.250]], "spacegroup": "Pmc2_1, No. 26", "volume_a3_per_fu": 227.3, "total_energy_ev_per_fu": -26.7, "n_ef_per_ev_cell": 18.12, "formation_enthalpy_0k_mev_per_atom": 74, "m_tot_mub_per_cell": 0.0}

{"formula": "NbAl2Pt", "functional": "PBE", "state": "relaxed", "cell": [[7.099, 0.000, 0.000], [0.000, 7.099, 0.000], [0.000, 0.000, 5.550]], "species": ["Nb", "Nb", "Nb", "Nb", "Al", "Al", "Al", "Al", "Al", "Al", "Al", "Al", "Pt", "Pt", "Pt", "Pt"], "fractional_positions": [[0.000, 0.000, 0.000], [0.000, 0.500, 0.250], [0.500, 0.000, 0.750], [0.500, 0.500, 0.500], [0.217, 0.750, 0.625], [0.250, 0.217, 0.375], [0.250, 0.283, 0.875], [0.283, 0.750, 0.125], [0.717, 0.250, 0.125], [0.750, 0.717, 0.875], [0.750, 0.783, 0.375], [0.783, 0.250, 0.625], [0.000, 0.000, 0.500], [0.000, 0.500, 0.750], [0.500, 0.000, 0.250], [0.500, 0.500, 0.000]], "spacegroup": "I-42d, No. 122", "volume_a3_per_fu": 69.9, "total_energy_ev_per_fu": -24.6, "n_ef_per_ev_cell": 10.03, "formation_enthalpy_0k_mev_per_atom": -254, "m_tot_mub_per_cell": 0.0}

{"formula": "Ho2Ga7Ni", "functional": "PBE", "state": "relaxed", "cell": [[4.140, 0.000, 0.000], [0.000, 4.140, 0.000], [0.000, 0.000, 10.728]], "species": ["Ho", "Ho", "Ga", "Ga", "Ga", "Ga", "Ga", "Ga", "Ga", "Ni"], "fractional_positions": [[0.000, 0.500, 0.238], [0.500, 0.000, 0.762], [0.000, 0.000, 0.000], [0.000, 0.000, 0.500], [0.000, 0.500, 0.646], [0.000, 0.500, 0.873], [0.500, 0.000, 0.127], [0.500, 0.000, 0.354], [0.500, 0.500, 0.500], [0.500, 0.500, 0.000]], "spacegroup": "P-4m2, No. 115", "volume_a3_per_fu": 183.9, "total_energy_ev_per_fu": -40.3, "n_ef_per_ev_cell": 2.97, "formation_enthalpy_0k_mev_per_atom": -422, "m_tot_mub_per_cell": 0.0}

{"formula": "Tl2SiPt", "functional": "PBE", "state": "relaxed", "cell": [[3.679, 0.000, 0.000], [-1.839, 3.186, 0.000], [0.000, 0.000, 22.877]], "species": ["Tl", "Tl", "Tl", "Tl", "Tl", "Tl", "Si", "Si", "Si", "Pt", "Pt", "Pt"], "fractional_positions": [[0.000, 0.000, 0.247], [0.000, 0.000, 0.753], [0.333, 0.667, 0.420], [0.333, 0.667, 0.914], [0.667, 0.333, 0.086], [0.667, 0.333, 0.580], [0.000, 0.000, 0.000], [0.333, 0.667, 0.667], [0.667, 0.333, 0.333], [0.000, 0.000, 0.500], [0.333, 0.667, 0.167], [0.667, 0.333, 0.833]], "raw_formation_energy_ev_per_atom": 0.37, "spacegroup": "R-3m, No. 166", "volume_a3_per_fu": 89.4, "total_energy_ev_per_fu": -14.7, "n_ef_per_ev_cell": 2.85, "m_tot_mub_per_cell": 0.0}